No. 1
Density functional theory data (GGA-PBE) for a geometry-optimized DyMn2Ga8 structure.

Computed properties:
Total DFT energy (no corrections), eV/cell: -48.6
Density of states at the Fermi level, states/eV per atom: 0.505
Space-group type: C2/m, No. 12
Formation energy from the elements, eV/f.u.: -1.420

abc: 6.6310 6.6310 4.6935
angles: 98.16 98.16 99.46
Positions (direct):
Dy1 0.0000 0.0000 0.0000
Mn1 0.2889 0.7111 0.5000
Mn2 0.7111 0.2889 0.5000
Ga1 0.0896 0.3519 0.6085
Ga2 0.2964 0.7036 0.0000
Ga3 0.3519 0.0896 0.6085
Ga4 0.3716 0.3716 0.2454
Ga5 0.6284 0.6284 0.7546
Ga6 0.6481 0.9104 0.3915
Ga7 0.7036 0.2964 0.0000
Ga8 0.9104 0.6481 0.3915

=====

No. 2
Density functional theory data (GGA-PBE) for a geometry-optimized Sc5CdIn2Ir2 structure.

Computed properties:
Total DFT energy (no corrections), eV/cell: -122.4
Density of states at the Fermi level, states/eV per atom: 0.661
Space-group type: P4/mbm, No. 127
Formation energy from the elements, eV/f.u.: -5.450

abc: 11.3298 11.3298 3.4235
angles: 90.00 90.00 90.00
Positions (direct):
Sc1 0.0000 0.5000 0.0000
Sc2 0.0751 0.2061 0.0000
Sc3 0.2061 0.9249 0.0000
Sc4 0.2939 0.4249 0.0000
Sc5 0.4249 0.7061 0.0000
Sc6 0.5000 0.0000 0.0000
Sc7 0.5751 0.2939 0.0000
Sc8 0.7061 0.5751 0.0000
Sc9 0.7939 0.0751 0.0000
Sc10 0.9249 0.7939 0.0000
Cd1 0.0000 0.0000 0.5000
Cd2 0.5000 0.5000 0.5000
In1 0.1724 0.6724 0.5000
In2 0.3276 0.1724 0.5000
In3 0.6724 0.8276 0.5000
In4 0.8276 0.3276 0.5000
Ir1 0.1310 0.3690 0.5000
Ir2 0.3690 0.8690 0.5000
Ir3 0.6310 0.1310 0.5000
Ir4 0.8690 0.6310 0.5000

=====

No. 3
Density functional theory data (GGA-PBE) for a geometry-optimized K2Sc2SbS6 structure.

Computed properties:
Total DFT energy (no corrections), eV/cell: -58.4
E_form (uncorrected), meV/atom: -1328
Density of states at the Fermi level, states/eV per atom: 0.348
Space-group type: C2/m, No. 12

abc: 6.6065 6.6065 7.8457
angles: 97.97 97.97 120.19
Positions (direct):
K1 0.1661 0.8339 0.0000
K2 0.8339 0.1661 0.0000
Sc1 0.3327 0.6673 0.5000
Sc2 0.6673 0.3327 0.5000
Sb1 0.0000 0.0000 0.5000
S1 0.0624 0.3996 0.6891
S2 0.2739 0.2739 0.3107
S3 0.3996 0.0624 0.6891
S4 0.6004 0.9376 0.3109
S5 0.7261 0.7261 0.6893
S6 0.9376 0.6004 0.3109

=====

No. 4
Density functional theory data (GGA-PBE) for a geometry-optimized TmLuMnCd structure.

Computed properties:
Total DFT energy (no corrections), eV/cell: -19.1
Density of states at the Fermi level, states/eV per atom: 1.414
Space-group type: F-43m, No. 216
Formation energy from the elements, eV/f.u.: -0.069

abc: 5.0775 5.0775 5.0775
angles: 60.00 60.00 60.00
Positions (direct):
Tm1 0.0000 0.0000 0.0000
Lu1 0.5000 0.5000 0.5000
Mn1 0.2500 0.2500 0.2500
Cd1 0.7500 0.7500 0.7500

=====

No. 5
Density functional theory data (GGA-PBE) for a geometry-optimized HoZrAl2 structure.

Computed properties:
E above lowest polymorph, meV per atom: 55.6
Total DFT energy (no corrections), eV/cell: -21.8
Density of states at the Fermi level, states/eV per atom: 0.952
Space-group type: Fm-3m, No. 225
Formation energy from the elements, eV/f.u.: -1.204

abc: 4.9246 4.9246 4.9246
angles: 60.00 60.00 60.00
Positions (direct):
Ho1 0.0000 0.0000 0.0000
Zr1 0.5000 0.5000 0.5000
Al1 0.2500 0.2500 0.2500
Al2 0.7500 0.7500 0.7500

=====

No. 6
Density functional theory data (GGA-PBE) for a geometry-optimized Be4Bi structure.

Computed properties:
Total DFT energy (no corrections), eV/cell: -9.4
Density of states at the Fermi level, states/eV per atom: 0.550
Space-group type: Pm-3m, No. 221
Formation energy from the elements, eV/f.u.: 9.361

abc: 4.7770 4.7770 4.7770
angles: 90.00 90.00 90.00
Positions (direct):
Be1 0.0000 0.0000 0.0000
Be2 0.0000 0.5000 0.5000
Be3 0.5000 0.0000 0.5000
Be4 0.5000 0.5000 0.0000
Bi1 0.5000 0.5000 0.5000

=====

No. 7
Density functional theory data (GGA-PBE) for a geometry-optimized TaZnHg2 structure.

Computed properties:
Total DFT energy (no corrections), eV/cell: -11.6
Density of states at the Fermi level, states/eV per atom: 0.896
Space-group type: I-4m2, No. 119
Formation energy from the elements, eV/f.u.: 2.134

abc: 5.3647 5.3647 5.3647
angles: 134.47 134.47 66.35
Positions (direct):
Ta1 0.0000 0.0000 0.0000
Zn1 0.2500 0.7500 0.5000
Hg1 0.5000 0.5000 0.0000
Hg2 0.7500 0.2500 0.5000

=====

No. 8
Density functional theory data (GGA-PBE) for a geometry-optimized Rb3OsBr6Cl2 structure.

Computed properties:
Total DFT energy (no corrections), eV/cell: -39.2
E_form (uncorrected), meV/atom: -946
Density of states at the Fermi level, states/eV per atom: 0.400
Space-group type: C2/m, No. 12

abc: 9.9744 9.9744 6.4122
angles: 100.66 100.66 55.69
Positions (direct):
Rb1 0.0000 0.0000 0.0000
Rb2 0.0000 0.5000 0.5000
Rb3 0.5000 0.0000 0.5000
Os1 0.5000 0.5000 0.5000
Br1 0.2336 0.6124 0.2752
Br2 0.3876 0.7664 0.7248
Br3 0.4057 0.4057 0.7382
Br4 0.5943 0.5943 0.2618
Br5 0.6124 0.2336 0.2752
Br6 0.7664 0.3876 0.7248
Cl1 0.1780 0.1780 0.1902
Cl2 0.8220 0.8220 0.8098

=====

No. 9
Density functional theory data (GGA-PBE) for a geometry-optimized SmGd2Cd structure.

Computed properties:
E above lowest polymorph, meV per atom: 34.7
Total DFT energy (no corrections), eV/cell: -34.3
Density of states at the Fermi level, states/eV per atom: 1.257
Space-group type: P4/mmm, No. 123
Formation energy from the elements, eV/f.u.: -0.467

abc: 4.8926 4.8926 4.9300
angles: 90.00 90.00 90.00
Positions (direct):
Sm1 0.0000 0.0000 0.0000
Gd1 0.0000 0.5000 0.5000
Gd2 0.5000 0.0000 0.5000
Cd1 0.5000 0.5000 0.0000

=====

No. 10
Density functional theory data (GGA-PBE) for a geometry-optimized FeCo2Pt4 structure.

Computed properties:
Total DFT energy (no corrections), eV/cell: -182.7
Density of states at the Fermi level, states/eV per atom: 1.500
Space-group type: Fd-3m, No. 227
Formation energy from the elements, eV/f.u.: 1.153

abc: 8.5046 8.5046 8.5046
angles: 60.00 60.00 60.00
Positions (direct):
Fe1 0.0000 0.0000 0.0000
Fe2 0.0000 0.0000 0.5000
Fe3 0.0000 0.5000 0.0000
Fe4 0.5000 0.0000 0.0000
Co1 0.2672 0.2672 0.2672
Co2 0.2672 0.2672 0.6984
Co3 0.2672 0.6984 0.2672
Co4 0.3016 0.7328 0.7328
Co5 0.6984 0.2672 0.2672
Co6 0.7328 0.3016 0.7328
Co7 0.7328 0.7328 0.3016
Co8 0.7328 0.7328 0.7328
Pt1 0.0000 0.5000 0.5000
Pt2 0.1074 0.1074 0.6426
Pt3 0.1074 0.6426 0.1074
Pt4 0.1074 0.6426 0.6426
Pt5 0.3574 0.3574 0.8926
Pt6 0.3574 0.8926 0.3574
Pt7 0.3574 0.8926 0.8926
Pt8 0.5000 0.0000 0.5000
Pt9 0.5000 0.5000 0.0000
Pt10 0.5000 0.5000 0.5000
Pt11 0.6426 0.1074 0.1074
Pt12 0.6426 0.1074 0.6426
Pt13 0.6426 0.6426 0.1074
Pt14 0.8926 0.3574 0.3574
Pt15 0.8926 0.3574 0.8926
Pt16 0.8926 0.8926 0.3574

=====

No. 11
Density functional theory data (GGA-PBE) for a geometry-optimized KMgSn structure.

Computed properties:
E above lowest polymorph, meV per atom: 168.3
Total DFT energy (no corrections), eV/cell: -6.8
Density of states at the Fermi level, states/eV per atom: 0.457
Space-group type: I4mm, No. 107
Formation energy from the elements, eV/f.u.: -0.098

abc: 6.9175 6.9175 6.9175
angles: 145.89 145.89 49.00
Positions (direct):
K1 0.0000 0.0000 0.0000
Mg1 0.7234 0.7234 0.0000
Sn1 0.2918 0.2918 0.0000

=====

No. 12
Density functional theory data (GGA-PBE) for a geometry-optimized Li3Mg4Rh structure.

Computed properties:
Total DFT energy (no corrections), eV/cell: -21.1
Density of states at the Fermi level, states/eV per atom: 0.375
Space-group type: P4/mmm, No. 123
Formation energy from the elements, eV/f.u.: -1.666

abc: 4.5896 4.5896 6.9036
angles: 90.00 90.00 90.00
Positions (direct):
Li1 0.0000 0.0000 0.0000
Li2 0.0000 0.0000 0.5000
Li3 0.5000 0.5000 0.0000
Mg1 0.0000 0.5000 0.2751
Mg2 0.0000 0.5000 0.7249
Mg3 0.5000 0.0000 0.2751
Mg4 0.5000 0.0000 0.7249
Rh1 0.5000 0.5000 0.5000